Entry 1:
VASP calculation (GGA-PBE) on crystalline YEr3Ga8 at its relaxed geometry. Values from VASP.

The structure in Quantum ESPRESSO input format:
```
&SYSTEM
  ibrav = 0, nat = 12, ntyp = 3
/
ATOMIC_SPECIES
Y 88.91 Y.upf
Er 167.26 Er.upf
Ga 69.72 Ga.upf
CELL_PARAMETERS angstrom
5.4287 0.0000 0.0000
-2.7144 4.7014 0.0000
0.0000 0.0000 9.2130
ATOMIC_POSITIONS angstrom
Y 0.0000 0.0000 0.0000
Er 0.0000 0.0000 3.3207
Er 2.7144 1.5671 4.6068
Er 2.7144 1.5671 7.9140
Ga 0.0000 1.5169 6.2581
Ga -1.4007 3.9430 6.2581
Ga 0.0000 3.1343 3.9629
Ga 0.0000 3.1343 8.5635
Ga 2.7144 0.0500 1.6696
Ga 1.4005 2.3257 1.6696
Ga 1.4007 3.9430 6.2581
Ga 4.0282 2.3257 1.6696
```

* formation energy: -52.0 kJ per mole of atoms
* E_tot: -50.8 eV/cell

=====

Entry 2:
VASP calculation (GGA-PBE) on crystalline Hf3InPt at its relaxed geometry. Values from VASP.

The structure in Quantum ESPRESSO input format:
```
&SYSTEM
  ibrav = 0, nat = 5, ntyp = 3
/
ATOMIC_SPECIES
Hf 178.49 Hf.upf
In 114.82 In.upf
Pt 195.08 Pt.upf
CELL_PARAMETERS angstrom
5.0548 0.0000 0.0000
0.0000 5.0548 0.0000
0.0000 0.0000 5.0548
ATOMIC_POSITIONS angstrom
Hf 0.0000 0.0000 2.5274
Hf 0.0000 2.5274 0.0000
Hf 2.5274 0.0000 0.0000
In 2.5274 2.5274 2.5274
Pt 0.0000 0.0000 0.0000
```

* energy above the lowest structure with this stoichiometry: 0.000 eV/atom
* formation energy: 8.0 kJ per mole of atoms
* E_tot: -38.2 eV/cell

=====

Entry 3:
VASP calculation (GGA-PBE) on crystalline Li3Hf2S6 at its relaxed geometry. Values from VASP.

The structure in Quantum ESPRESSO input format:
```
&SYSTEM
  ibrav = 0, nat = 11, ntyp = 3
/
ATOMIC_SPECIES
Li 6.94 Li.upf
Hf 178.49 Hf.upf
S 32.06 S.upf
CELL_PARAMETERS angstrom
3.1932 -5.5449 0.0000
3.1932 5.5449 0.0000
-2.1597 0.0000 5.9992
ATOMIC_POSITIONS angstrom
Li 0.0000 0.0000 0.0000
Li 3.1932 1.7819 0.0000
Li 3.1932 -1.7819 0.0000
Hf 2.1134 3.6999 2.9996
Hf 2.1134 -3.6999 2.9996
S 0.9945 1.9581 1.5384
S -0.1386 0.0000 4.4701
S 0.9945 -1.9581 1.5384
S 3.2322 1.9581 4.4608
S 4.3654 0.0000 1.5291
S 3.2322 -1.9581 4.4608
```

* E_form (uncorrected): -1.3539 eV/atom
* E_tot: -65.3 eV/cell

=====

Entry 4:
VASP calculation (GGA-PBE) on crystalline AlSi2Os at its relaxed geometry. Values from VASP.

The structure in Quantum ESPRESSO input format:
```
&SYSTEM
  ibrav = 0, nat = 4, ntyp = 3
/
ATOMIC_SPECIES
Al 26.98 Al.upf
Si 28.09 Si.upf
Os 190.23 Os.upf
CELL_PARAMETERS angstrom
2.8866 0.0000 0.0000
0.0000 2.8866 0.0000
0.0000 0.0000 7.0230
ATOMIC_POSITIONS angstrom
Al 0.0000 0.0000 0.0000
Si 1.4433 1.4433 1.9872
Si 1.4433 1.4433 5.0359
Os 0.0000 0.0000 3.5115
```

* E_form (uncorrected): -0.0243 eV/atom
* E_tot: -25.9 eV/cell

=====

Entry 5:
VASP calculation (GGA-PBE) on crystalline ScSnI2 at its relaxed geometry. Values from VASP.

The structure in Quantum ESPRESSO input format:
```
&SYSTEM
  ibrav = 0, nat = 4, ntyp = 3
/
ATOMIC_SPECIES
Sc 44.96 Sc.upf
Sn 118.71 Sn.upf
I 126.90 I.upf
CELL_PARAMETERS angstrom
1.9039 1.0992 10.6218
-1.9039 1.0992 10.6218
0.0000 -2.1984 10.6218
ATOMIC_POSITIONS angstrom
Sc 0.0000 0.0000 0.0000
Sn 0.0000 0.0000 15.9326
I 0.0000 0.0000 12.5490
I 0.0000 0.0000 19.3163
```

* energy above the lowest structure with this stoichiometry: 0.000 eV/atom
* E_form (uncorrected): -0.5354 eV/atom
* E_tot: -15.6 eV/cell

=====

Entry 6:
VASP calculation (GGA-PBE) on crystalline La3Pm2Tl3 at its relaxed geometry. Values from VASP.

The structure in Quantum ESPRESSO input format:
```
&SYSTEM
  ibrav = 0, nat = 8, ntyp = 3
/
ATOMIC_SPECIES
La 138.91 La.upf
Pm 145.00 Pm.upf
Tl 204.38 Tl.upf
CELL_PARAMETERS angstrom
-2.2793 2.5932 10.7788
2.2793 -2.5932 10.7788
2.2793 2.5932 -10.7788
ATOMIC_POSITIONS angstrom
La 0.0000 0.0000 0.0000
La 2.2793 0.0000 8.1958
La 0.0000 2.5932 2.5830
Pm 0.0000 0.0000 5.0715
Pm 0.0000 0.0000 16.4862
Tl 2.2793 0.0000 2.7685
Tl 0.0000 0.0000 10.7788
Tl 0.0000 2.5932 8.0104
```

* energy above the lowest structure with this stoichiometry: 0.011 eV/atom
* formation energy: -29.0 kJ per mole of atoms
* E_tot: -33.8 eV/cell